a | Here is a relaxed structure of NbTlSeBr2 from the Alexandria database. Energies are from GGA-PBE.

Cell lengths 5.532, 5.532, 5.471 Å; angles 90.00, 90.00, 90.00 degrees
Element x y z (fractional)
Nb1 0.000 0.000 0.000
Tl1 0.500 0.500 0.500
Se1 0.500 0.500 0.000
Br1 0.000 0.500 0.500
Br2 0.500 0.000 0.500

Crystal system   tetragonal
Space-group type   P4/mmm

=====

b | Here is a relaxed structure of NbTlSeBr2 from the Alexandria database. Energies are from GGA-PBE.

Cell lengths 5.458, 5.458, 5.049 Å; angles 90.00, 90.00, 90.00 degrees
Element x y z (fractional)
Nb1 0.000 0.000 0.000
Tl1 0.500 0.500 0.500
Se1 0.000 0.000 0.500
Br1 0.000 0.500 0.000
Br2 0.500 0.000 0.000

Crystal system   tetragonal
Space-group type   P4/mmm

=====

Which is most stable? The ranking, best first, is b, a.

=====

a | Here is a relaxed structure of NbWSe2Br from the Alexandria database. Energies are from GGA-PBE.

Cell lengths 4.908, 4.908, 5.149 Å; angles 90.00, 90.00, 90.00 degrees
Element x y z (fractional)
Nb1 0.000 0.000 0.000
W1 0.500 0.500 0.500
Se1 0.000 0.500 0.500
Se2 0.500 0.000 0.500
Br1 0.500 0.500 0.000

Crystal system   tetragonal
Space-group type   P4/mmm

=====

b | Here is a relaxed structure of NbWSe2Br from the Alexandria database. Energies are from GGA-PBE.

Cell lengths 5.134, 5.134, 4.623 Å; angles 90.00, 90.00, 90.00 degrees
Element x y z (fractional)
Nb1 0.000 0.000 0.000
W1 0.500 0.500 0.000
Se1 0.000 0.500 0.500
Se2 0.500 0.000 0.500
Br1 0.500 0.500 0.500

Crystal system   tetragonal
Space-group type   P4/mmm

=====

c | Here is a relaxed structure of NbWSe2Br from the Alexandria database. Energies are from GGA-PBE.

Cell lengths 5.084, 5.084, 5.050 Å; angles 90.00, 90.00, 90.00 degrees
Element x y z (fractional)
Nb1 0.000 0.000 0.000
W1 0.500 0.500 0.500
Se1 0.000 0.500 0.000
Se2 0.500 0.000 0.000
Br1 0.000 0.000 0.500

Crystal system   tetragonal
Space-group type   P4/mmm

=====

Which is most stable? The ranking, best first, is a, c, b.

=====

a | Here is a relaxed structure of ZrNbSeBr2 from the Alexandria database. Energies are from GGA-PBE.

Cell lengths 5.149, 5.149, 5.080 Å; angles 90.00, 90.00, 90.00 degrees
Element x y z (fractional)
Zr1 0.000 0.000 0.000
Nb1 0.500 0.500 0.500
Se1 0.500 0.500 0.000
Br1 0.000 0.500 0.500
Br2 0.500 0.000 0.500

Crystal system   tetragonal
Space-group type   P4/mmm

=====

b | Here is a relaxed structure of ZrNbSeBr2 from the Alexandria database. Energies are from GGA-PBE.

Cell lengths 5.259, 5.259, 5.272 Å; angles 90.00, 90.00, 90.00 degrees
Element x y z (fractional)
Zr1 0.000 0.000 0.000
Nb1 0.500 0.500 0.500
Se1 0.000 0.000 0.500
Br1 0.000 0.500 0.000
Br2 0.500 0.000 0.000

Crystal system   tetragonal
Space-group type   P4/mmm

=====

Which is most stable? The ranking, best first, is b, a.

=====

a | Here is a relaxed structure of ZrNbSe2Br from the Alexandria database. Energies are from GGA-PBE.

Cell lengths 5.014, 5.014, 5.013 Å; angles 90.00, 90.00, 90.00 degrees
Element x y z (fractional)
Zr1 0.000 0.000 0.000
Nb1 0.500 0.500 0.500
Se1 0.000 0.500 0.500
Se2 0.500 0.000 0.500
Br1 0.500 0.500 0.000

Crystal system   tetragonal
Space-group type   P4/mmm

=====

b | Here is a relaxed structure of ZrNbSe2Br from the Alexandria database. Energies are from GGA-PBE.

Cell lengths 5.235, 5.235, 5.167 Å; angles 90.00, 90.00, 90.00 degrees
Element x y z (fractional)
Zr1 0.000 0.000 0.000
Nb1 0.500 0.500 0.500
Se1 0.000 0.500 0.000
Se2 0.500 0.000 0.000
Br1 0.000 0.000 0.500

Crystal system   tetragonal
Space-group type   P4/mmm

=====

Which is most stable? The ranking, best first, is b, a.